The following is a DFT calculation (meta-GGA SCAN) of a PBEsol-optimized structure of Fe2AsIr2.

Properties
Total magnetization (μB per formula unit): 6.04
Crystal system: tetragonal
ΔE_f (meV per atom): 426

Geometry as CIF:
```
data_Fe2AsIr2
_chemical_formula_sum 'Fe4 As2 Ir4'
_cell_length_a 3.5981
_cell_length_b 3.5981
_cell_length_c 11.4396
_cell_angle_alpha 90.00
_cell_angle_beta 90.00
_cell_angle_gamma 90.00
_symmetry_space_group_name_H-M 'I 4/m m m'
_symmetry_Int_Tables_number 139
_symmetry_space_group_name_Hall '-I 4 2'
loop_
_atom_site_label
_atom_site_type_symbol
_atom_site_fract_x
_atom_site_fract_y
_atom_site_fract_z
Fe1 Fe 0.0000 0.0000 0.1001
As1 As 0.0000 0.0000 0.5000
Ir1 Ir 0.0000 0.5000 0.2500
```